(1)
SrCa2Co: optimized geometry, PBE.

Geometry as POSCAR:
```
SrCa2Co
1.0
-2.4994 9.9647 -2.4955
-5.2917 9.1498 0.2196
-1.6784 10.3465 1.3791
Ca Co Sr
2 1 1
Direct
0.5296 0.5296 0.5296
0.9704 0.9704 0.9704
0.2500 0.2500 0.2500
0.7500 0.7500 0.7500
```

- ΔE_f: 1.26 eV/f.u.
- Space group: R-3m, No. 166
- Magnetic moment: 0.81 μB/f.u.
- Energy relative to the lowest polymorph listed for this composition: 0.061 eV per atom

---

(2)
Pr6CoSn3: optimized geometry, PBE.

Geometry as POSCAR:
```
Pr6CoSn3
1.0
8.8562 -0.6226 -0.6366
-0.8147 8.8406 -0.6366
-0.8147 -0.8325 8.8244
Pr Sn Co
12 6 2
Direct
0.6857 0.0026 0.9500
0.3143 0.9974 0.0500
0.5623 0.4295 0.1980
0.4377 0.5705 0.8020
0.4295 0.1980 0.5623
0.9500 0.6857 0.0026
0.8020 0.4377 0.5705
0.0026 0.9500 0.6857
0.1980 0.5623 0.4295
0.0500 0.3143 0.9974
0.5705 0.8020 0.4377
0.9974 0.0500 0.3143
0.6904 0.3483 0.8810
0.3096 0.6517 0.1190
0.8810 0.6904 0.3483
0.3483 0.8810 0.6904
0.6517 0.1190 0.3096
0.1190 0.3096 0.6517
0.5000 0.5000 0.5000
0.0000 0.0000 0.0000
```

- ΔE_f: -3.41 eV/f.u.
- Space group: R-3, No. 148
- Magnetic moment: 0.00 μB/f.u.

---

(3)
MgIn2Tc: optimized geometry, PBE.

Geometry as POSCAR:
```
MgIn2Tc
1.0
-7.3871 -2.2852 0.5240
2.3272 -6.9370 2.5550
-2.6367 -3.6379 4.2790
In Tc Mg
4 2 2
Direct
0.3750 0.3512 0.7500
0.8750 0.8988 0.7500
0.1012 0.6250 0.2500
0.6488 0.1250 0.2500
0.0000 0.0000 0.0000
0.7500 0.2500 0.5000
0.2500 0.7500 0.5000
0.5000 0.5000 0.0000
```

- ΔE_f: 2.14 eV/f.u.
- Space group: I-42d, No. 122
- Magnetic moment: 0.98 μB/f.u.

---

(4)
BaDyZnAg: optimized geometry, PBE.

Geometry as POSCAR:
```
BaDyZnAg
1.0
5.4468 0.0000 0.0000
2.7234 4.7170 0.0000
2.7234 1.5723 4.4473
Dy Ba Zn Ag
1 1 1 1
Direct
0.0000 0.0000 0.0000
0.5000 0.5000 0.5000
0.2500 0.2500 0.2500
0.7500 0.7500 0.7500
```

- ΔE_f: -0.37 eV/f.u.
- Space group: F-43m, No. 216
- Magnetic moment: 0.00 μB/f.u.

---

(5)
Ce8Tc2Pb: optimized geometry, PBE.

Geometry as POSCAR:
```
Ce8Tc2Pb
1.0
-3.2253 -4.2116 -0.5643
2.6157 -1.2264 -5.7815
5.9609 -2.0936 6.7543
Ce Tc Pb
8 2 1
Direct
0.9471 0.0167 0.5306
0.7303 0.8973 0.0968
0.5426 0.7096 0.7213
0.6363 0.3156 0.9091
0.3653 0.8522 0.3671
0.1366 0.5058 0.9092
0.3252 0.3951 0.2876
0.9075 0.3944 0.4512
0.4901 0.3083 0.6164
0.7825 0.6010 0.2017
0.1364 0.0039 0.9090
```

- ΔE_f: -1.30 eV/f.u.
- Space group: Imm2, No. 44
- Magnetic moment: 0.75 μB/f.u.
- Energy relative to the lowest polymorph listed for this composition: 0.000 eV per atom

---

(6)
RbPuThO6: optimized geometry, PBE.

Geometry as POSCAR:
```
RbPuThO6
1.0
7.5674 0.0000 0.0000
0.0000 8.1475 0.0000
-3.7837 -4.0737 5.1577
O Th Pu Rb
12 2 2 2
Direct
0.8590 0.1090 0.7179
0.1410 0.8910 0.2821
0.5519 0.3941 0.7414
0.5519 0.8473 0.7414
0.8105 0.6059 0.2586
0.1895 0.8473 0.7414
0.4163 0.1663 0.8326
0.5837 0.8337 0.1674
0.4481 0.1527 0.2586
0.1895 0.3941 0.7414
0.4481 0.6059 0.2586
0.8105 0.1527 0.2586
0.5000 0.0000 0.5000
0.0000 0.0000 0.5000
0.5000 0.0000 0.0000
0.5000 0.5000 0.0000
0.1460 0.3960 0.2920
0.8540 0.6040 0.7080
```

- Formation energy (no corrections): -24.689 eV per formula unit
- Space group: Imma, No. 74
- Magnetic moment: 1.00 μB/f.u.

---

(7)
Rb3NpCd2Se6: optimized geometry, PBE.

Geometry as POSCAR:
```
Rb3NpCd2Se6
1.0
-0.1610 -0.6649 7.2600
0.6447 -5.9017 -4.2342
7.7702 2.8602 -0.7585
Rb Se Cd Np
3 6 2 1
Direct
0.5000 0.5000 0.5000
0.8284 0.1716 0.5000
0.1716 0.8284 0.5000
0.0658 0.3878 0.1923
0.9342 0.6122 0.8077
0.3878 0.0658 0.1923
0.7449 0.7449 0.1964
0.2551 0.2551 0.8036
0.6122 0.9342 0.8077
0.6659 0.3341 0.0000
0.3341 0.6659 0.0000
0.0000 0.0000 0.0000
```

- Formation energy (no corrections): -10.942 eV per formula unit
- Space group: C2/m, No. 12
- Magnetic moment: 2.00 μB/f.u.

---

(8)
LaFe2Cu: optimized geometry, PBE.

Geometry as POSCAR:
```
LaFe2Cu
1.0
4.4407 0.0000 0.0000
0.0000 4.4407 0.0000
2.2204 2.2204 8.5022
La Fe Cu
2 4 2
Direct
0.0000 0.0000 0.0000
0.7500 0.2500 0.5000
0.3752 0.1250 0.2500
0.3750 0.6248 0.7500
0.3748 0.6250 0.2500
0.8750 0.6252 0.7500
0.2500 0.7500 0.5000
0.5000 0.5000 0.0000
```

- ΔE_f: 1.58 eV/f.u.
- Space group: I4_1/amd, No. 141
- Magnetic moment: 4.08 μB/f.u.

---

(9)
Nd2InSe: optimized geometry, PBE.

Geometry as POSCAR:
```
Nd2InSe
1.0
-3.8194 1.0061 0.8808
-2.9543 -2.7384 -0.3863
-1.0513 -3.0091 8.1746
Nd In Se
2 1 1
Direct
0.0711 0.0711 0.7866
0.2619 0.2619 0.2142
0.4994 0.4994 0.5017
0.6675 0.6675 0.9975
```

- Formation energy (no corrections): -4.176 eV per formula unit
- Space group: R3m, No. 160
- Magnetic moment: 0.00 μB/f.u.
- Energy relative to the lowest polymorph listed for this composition: 0.114 eV per atom

---

(10)
Rb3ScW: optimized geometry, PBE.

Geometry as POSCAR:
```
Rb3ScW
1.0
6.9949 0.0000 0.0000
0.0000 6.9949 0.0000
0.0000 0.0000 6.9949
Rb W Sc
3 1 1
Direct
0.0000 0.0000 0.5000
0.5000 0.0000 0.0000
0.0000 0.5000 0.0000
0.0000 0.0000 0.0000
0.5000 0.5000 0.5000
```

- ΔE_f: 9.38 eV/f.u.
- Space group: Pm-3m, No. 221
- Magnetic moment: 7.87 μB/f.u.
- Energy relative to the lowest polymorph listed for this composition: 0.000 eV per atom

---

(11)
Cu3Ni7Ge: optimized geometry, PBE.

Geometry as POSCAR:
```
Cu3Ni7Ge
1.0
-2.2411 -1.0940 -3.6919
-1.2968 -3.4315 4.9451
-2.5227 4.5209 3.3329
Ge Ni Cu
1 7 3
Direct
0.5000 0.5000 0.5000
0.6023 0.7775 0.7775
0.6753 0.4173 0.9261
0.3247 0.5827 0.0739
0.3977 0.2225 0.2225
0.3247 0.0739 0.5827
0.0000 0.5000 0.5000
0.6753 0.9261 0.4173
0.5000 0.0000 0.0000
0.0000 0.7998 0.2002
0.0000 0.2002 0.7998
```

- ΔE_f: 2.40 eV/f.u.
- Space group: C2/m, No. 12
- Magnetic moment: 0.69 μB/f.u.

---

(12)
LiTbBeSi2: optimized geometry, PBE.

Geometry as POSCAR:
```
LiTbBeSi2
1.0
3.9807 0.0000 0.0000
0.0000 3.9807 0.0000
-1.9903 -1.9903 4.9785
Si Li Tb Be
2 1 1 1
Direct
0.6181 0.6181 0.2362
0.3819 0.3819 0.7638
0.7500 0.2500 0.5000
0.0000 0.0000 0.0000
0.2500 0.7500 0.5000
```

- Formation energy (no corrections): -2.100 eV per formula unit
- Space group: I-4m2, No. 119
- Magnetic moment: 0.00 μB/f.u.